# HfTlCrO6

Crystalline HfTlCrO6 at its relaxed geometry (GGA+U, Alexandria).

Values from the calculation:
The calculation puts the volume at 12.61 Å³/atom. As for the total energy: -7.24 eV/atom.

a b c (Å): 5.1796 9.2110 4.7615
angles (deg): 90.00 91.77 90.00
With the nearest neighbours (Å) after each atom.
Space group C2 (No. 5)
Unique sites:
1 Hf 0.0000 0.0000 0.0000 (multiplicity 2)  6 O 2.06-2.10
2 Tl 0.0000 0.3403 0.5000 (multiplicity 2)  6 O 2.22-2.42
3 Cr 0.0000 0.6680 0.0000 (multiplicity 2)  6 O 1.83-1.95
4 O 0.1455 0.8267 0.2260 (multiplicity 4)  1 Cr 1.95, 1 Hf 2.06
5 O 0.1727 0.5237 0.2296 (multiplicity 4)  1 Cr 1.92, 1 Hf 2.06
6 O 0.2126 0.1621 0.2135 (multiplicity 4)  1 Cr 1.83